Material: FeCuHIr2
Method: DFT, PBE
State: relaxed

Unit cell a=3.899 b=3.899 c=3.752 alpha=90.00 beta=90.00 gamma=90.00
Site moments in Bohr magnetons follow the coordinates.
Positions (direct):
H: 0.000 0.000 0.000  -0.01
Ir: 0.000 0.500 0.000  0.57
Ir: 0.500 0.000 0.000  0.57
Fe: 0.000 0.000 0.500  2.95
Cu: 0.500 0.500 0.500  0.21

Calculated values
- SG = P4/mmm, No. 123
- E (eV/atom) = -6.55

***

Material: Tc2Sb6Ir
Method: DFT, PBE
State: relaxed

Unit cell a=5.617 b=6.687 c=6.687 alpha=120.00 beta=90.00 gamma=90.00
Positions (direct):
Tc: 0.500 0.667 0.333
Tc: 0.500 0.333 0.667
Sb: 0.761 0.663 0.663
Sb: 0.239 0.663 0.000
Sb: 0.239 0.000 0.663
Sb: 0.761 0.337 0.000
Sb: 0.239 0.337 0.337
Sb: 0.761 0.000 0.337
Ir: 0.000 0.000 0.000

Calculated values
- SG = P-31m, No. 162
- E (eV/atom) = -6.03

***

Material: BaAl2AsCl
Method: DFT, PBE
State: relaxed

Unit cell a=4.841 b=7.052 c=4.841 alpha=90.00 beta=90.00 gamma=90.00
Positions (direct):
As: 0.000 0.000 0.000
Al: 0.000 0.000 0.500
Al: 0.500 0.000 0.000
Ba: 0.500 0.500 0.500
Cl: 0.000 0.500 0.000

Calculated values
- SG = P4/mmm, No. 123
- E (eV/atom) = -3.46

***

Material: NaAl7Ga12
Method: DFT, PBE
State: relaxed

Unit cell a=8.405 b=8.405 c=8.405 alpha=109.47 beta=109.47 gamma=109.47
Positions (direct):
Na: 0.000 0.000 0.000
Al: 0.500 0.000 0.500
Al: 0.500 0.500 0.000
Al: 0.000 0.500 0.500
Al: 0.000 0.000 0.500
Al: 0.500 0.000 0.000
Al: 0.500 0.500 0.500
Al: 0.000 0.500 0.000
Ga: 0.356 0.247 0.603
Ga: 0.356 0.753 0.109
Ga: 0.644 0.753 0.397
Ga: 0.644 0.247 0.891
Ga: 0.603 0.356 0.247
Ga: 0.891 0.644 0.247
Ga: 0.397 0.644 0.753
Ga: 0.109 0.356 0.753
Ga: 0.753 0.109 0.356
Ga: 0.247 0.891 0.644
Ga: 0.247 0.603 0.356
Ga: 0.753 0.397 0.644

Calculated values
- SG = Im-3, No. 204
- E (eV/atom) = -3.04

***

Material: Ac3In4
Method: DFT, PBE
State: relaxed

Unit cell a=4.835 b=6.605 c=16.008 alpha=90.00 beta=90.00 gamma=111.45
Positions (direct):
Ac: 0.708 0.417 0.101
Ac: 0.294 0.588 0.900
Ac: 0.708 0.417 0.400
Ac: 0.294 0.588 0.601
Ac: 0.000 0.000 0.250
Ac: 0.002 0.005 0.750
In: 0.275 0.550 0.250
In: 0.727 0.455 0.750
In: 0.420 0.840 0.101
In: 0.001 0.002 0.000
In: 0.420 0.840 0.400
In: 0.582 0.165 0.900
In: 0.001 0.002 0.500
In: 0.582 0.164 0.601

Calculated values
- SG = Cmcm, No. 63
- ΔE to the lowest computed polymorph (kJ/mol of formula units) = 14

***

Material: SbTe2Pb
Method: DFT, PBE
State: relaxed

Unit cell a=4.527 b=4.522 c=6.545 alpha=90.00 beta=90.00 gamma=90.00
Positions (direct):
Pb: 0.000 0.000 0.376
Sb: 0.500 0.500 0.875
Te: 0.000 0.000 0.875
Te: 0.500 0.500 0.374

Calculated values
- SG = P4mm, No. 99
- E (eV/atom) = -3.69

***

Material: Cd2H2O3
Method: DFT, PBE
State: relaxed

Unit cell a=3.323 b=4.929 c=6.416 alpha=123.24 beta=105.01 gamma=90.00
Positions (direct):
Cd: 0.385 0.061 0.770
Cd: 0.615 0.939 0.230
H: 0.114 0.454 0.227
H: 0.886 0.546 0.773
O: 0.000 0.000 0.000
O: 0.163 0.699 0.327
O: 0.837 0.301 0.673

Calculated values
- SG = C2/m, No. 12
- E (eV/atom) = -4.34

***

Material: Co2AgAu
Method: DFT, PBE
State: relaxed

Unit cell a=3.918 b=2.720 c=6.107 alpha=63.83 beta=90.00 gamma=90.00
Site moments in Bohr magnetons follow the coordinates.
Positions (direct):
Ag: 0.500 0.250 0.250  0.01
Au: 0.500 0.750 0.750  0.03
Co: 0.000 0.004 0.996  1.80
Co: 0.000 0.496 0.504  1.80

Calculated values
- SG = P2/m, No. 10
- E (eV/atom) = -4.71

***

Material: LiCaAl3
Method: DFT, PBE
State: relaxed

Unit cell a=4.673 b=4.673 c=4.673 alpha=90.00 beta=90.00 gamma=90.00
Positions (direct):
Ca: 0.500 0.500 0.500
Al: 0.000 0.500 0.000
Al: 0.000 0.000 0.500
Al: 0.500 0.000 0.000
Li: 0.000 0.000 0.000

Calculated values
- SG = Pm-3m, No. 221
- ΔE to the lowest computed polymorph (kJ/mol of formula units) = 135

***

Material: RbCaZr2
Method: DFT, PBE
State: relaxed

Unit cell a=5.649 b=5.649 c=5.649 alpha=60.00 beta=60.00 gamma=60.00
Positions (direct):
Ca: 0.000 0.000 0.000
Rb: 0.500 0.500 0.500
Zr: 0.250 0.250 0.250
Zr: 0.750 0.750 0.750

Calculated values
- SG = Fm-3m, No. 225
- ΔE to the lowest computed polymorph (kJ/mol of formula units) = 0

***

Material: LaTaN2
Method: DFT, PBE
State: relaxed

Unit cell a=3.228 b=3.228 c=6.194 alpha=105.11 beta=105.11 gamma=90.02
Positions (direct):
La: 0.221 0.882 0.228
Ta: 0.471 0.631 0.728
N: 0.862 0.522 0.510
N: 0.581 0.240 0.946

Calculated values
- SG = I-4m2, No. 119
- E (eV/atom) = -9.26

***

Material: MgNiH2
Method: DFT, PBE
State: relaxed

Unit cell a=4.162 b=4.162 c=5.067 alpha=65.75 beta=65.75 gamma=90.00
Positions (direct):
Ni: 0.000 0.000 0.000
Ni: 0.750 0.250 0.500
Mg: 0.500 0.500 0.000
Mg: 0.250 0.750 0.500
H: 0.699 0.125 0.250
H: 0.051 0.625 0.250
H: 0.375 0.301 0.750
H: 0.875 0.949 0.750

Calculated values
- SG = I-42d, No. 122
- ΔE to the lowest computed polymorph (kJ/mol of formula units) = 23

***

- What is the formula in the eighth record?
  Co2AgAu